1.
! PmDyIrI PBE optimized geometry; values from VASP
! - DOS(E_F) (states/eV/f.u.) = 0.65
! - crystal system = trigonal
! - raw formation energy (meV/atom) = -960
&SYSTEM
  ibrav = 0, nat = 4, ntyp = 4
/
ATOMIC_SPECIES
Pm 145.00 Pm.upf
Dy 162.50 Dy.upf
Ir 192.22 Ir.upf
I 126.90 I.upf
ATOMIC_POSITIONS crystal
Pm 0.5161 0.1560 0.6874
Dy 0.0898 0.9428 0.0481
Ir 0.3074 0.5516 0.8745
I 0.9645 0.3805 0.3596
CELL_PARAMETERS angstrom
4.1566 -0.0005 -0.0004
-2.0778 3.5998 0.0000
-2.0783 -1.1996 7.9959

---

2.
! PrDyIrI PBE optimized geometry; values from VASP
! - DOS(E_F) (states/eV/f.u.) = 0.79
! - crystal system = trigonal
! - raw formation energy (meV/atom) = -951
&SYSTEM
  ibrav = 0, nat = 4, ntyp = 4
/
ATOMIC_SPECIES
Pr 140.91 Pr.upf
Dy 162.50 Dy.upf
Ir 192.22 Ir.upf
I 126.90 I.upf
ATOMIC_POSITIONS crystal
Pr 0.5153 0.1556 0.6862
Dy 0.0901 0.9429 0.0484
Ir 0.3096 0.5527 0.8777
I 0.9629 0.3796 0.3573
CELL_PARAMETERS angstrom
4.1769 -0.0006 -0.0004
-2.0881 3.6176 0.0000
-2.0885 -1.2053 8.0651

---

3.
! TbDyIrI PBE optimized geometry; values from VASP
! - DOS(E_F) (states/eV/f.u.) = 0.41
! - crystal system = trigonal
! - raw formation energy (meV/atom) = -969
&SYSTEM
  ibrav = 0, nat = 4, ntyp = 4
/
ATOMIC_SPECIES
Tb 158.93 Tb.upf
Dy 162.50 Dy.upf
Ir 192.22 Ir.upf
I 126.90 I.upf
ATOMIC_POSITIONS crystal
Tb 0.5181 0.1569 0.6906
Dy 0.0896 0.9427 0.0477
Ir 0.3043 0.5500 0.8697
I 0.9659 0.3812 0.3617
CELL_PARAMETERS angstrom
4.1308 -0.0006 -0.0004
-2.0650 3.5776 -0.0002
-2.0654 -1.1924 7.8977

---

4.
! KDyI3 PBE optimized geometry; values from VASP
! - DOS(E_F) (states/eV/f.u.) = 3.61
! - crystal system = cubic
! - raw formation energy (meV/atom) = -1146
&SYSTEM
  ibrav = 0, nat = 5, ntyp = 3
/
ATOMIC_SPECIES
I 126.90 I.upf
K 39.10 K.upf
Dy 162.50 Dy.upf
ATOMIC_POSITIONS crystal
I 0.0000 0.5000 0.0000
I 0.0000 0.0000 0.5000
I 0.5000 0.0000 0.0000
K 0.5000 0.5000 0.5000
Dy 0.0000 0.0000 0.0000
CELL_PARAMETERS angstrom
6.0469 0.0000 0.0000
0.0000 6.0469 0.0000
0.0000 0.0000 6.0469

---

5.
! K5Dy3I12 PBE optimized geometry; values from VASP
! - DOS(E_F) (states/eV/f.u.) = 6.66
! - crystal system = hexagonal
! - raw formation energy (meV/atom) = -1351
&SYSTEM
  ibrav = 0, nat = 20, ntyp = 3
/
ATOMIC_SPECIES
K 39.10 K.upf
Dy 162.50 Dy.upf
I 126.90 I.upf
ATOMIC_POSITIONS crystal
K 0.7186 0.0000 0.5000
K 0.2814 0.2814 0.5000
K 0.0000 0.7186 0.5000
K 0.6667 0.3333 0.5000
K 0.3333 0.6667 0.5000
Dy 0.3255 0.0000 0.0000
Dy 0.0000 0.3255 0.0000
Dy 0.6745 0.6745 0.0000
I 0.1775 0.0000 0.5000
I 0.2392 0.4442 0.0000
I 0.5558 0.7950 0.0000
I 0.0000 0.1775 0.5000
I 0.8225 0.8225 0.5000
I 0.0000 0.4697 0.5000
I 0.4697 0.0000 0.5000
I 0.5303 0.5303 0.5000
I 0.7608 0.2050 0.0000
I 0.4442 0.2392 0.0000
I 0.7950 0.5558 0.0000
I 0.2050 0.7608 0.0000
CELL_PARAMETERS angstrom
14.8468 0.0000 0.0000
-7.4234 12.8577 0.0000
0.0000 0.0000 4.4538

---

6.
! KDyI3 PBE optimized geometry; values from VASP
! - DOS(E_F) (states/eV/f.u.) = 3.04
! - crystal system = orthorhombic
! - raw formation energy (meV/atom) = -1217
&SYSTEM
  ibrav = 0, nat = 10, ntyp = 3
/
ATOMIC_SPECIES
K 39.10 K.upf
Dy 162.50 Dy.upf
I 126.90 I.upf
ATOMIC_POSITIONS crystal
K 0.2572 0.7428 0.7500
K 0.7428 0.2572 0.2500
Dy 0.0000 0.0000 0.5000
Dy 0.0000 0.0000 0.0000
I 0.6377 0.3623 0.5561
I 0.3623 0.6377 0.4439
I 0.3623 0.6377 0.0561
I 0.6377 0.3623 0.9439
I 0.9387 0.0613 0.7500
I 0.0613 0.9387 0.2500
CELL_PARAMETERS angstrom
4.7013 -0.4199 6.9150
-5.5344 3.9287 -4.9022
-8.7561 -5.3092 5.6306

---

7.
! K2DyI5 PBE optimized geometry; values from VASP
! - DOS(E_F) (states/eV/f.u.) = 0.00
! - crystal system = tetragonal
! - raw formation energy (meV/atom) = -1362
&SYSTEM
  ibrav = 0, nat = 8, ntyp = 3
/
ATOMIC_SPECIES
K 39.10 K.upf
Dy 162.50 Dy.upf
I 126.90 I.upf
ATOMIC_POSITIONS crystal
K 0.1721 0.6720 0.3438
K 0.6720 0.1719 0.3438
Dy 0.9896 0.9896 0.9792
I 0.8115 0.2778 0.0893
I 0.2777 0.2777 0.0891
I 0.8114 0.8114 0.0891
I 0.2777 0.8113 0.0890
I 0.7650 0.7653 0.5306
CELL_PARAMETERS angstrom
-7.6157 -0.5017 -4.5073
4.2665 -3.7705 -6.7917
0.5737 -3.6228 8.1571

---

8.
! K2DyI5 PBE optimized geometry; values from VASP
! - DOS(E_F) (states/eV/f.u.) = 0.00
! - crystal system = orthorhombic
! - raw formation energy (meV/atom) = -1426
&SYSTEM
  ibrav = 0, nat = 32, ntyp = 3
/
ATOMIC_SPECIES
K 39.10 K.upf
Dy 162.50 Dy.upf
I 126.90 I.upf
ATOMIC_POSITIONS crystal
K 0.4210 0.5073 0.8292
K 0.5790 0.4927 0.1708
K 0.9210 0.4927 0.6708
K 0.5790 0.0073 0.1708
K 0.0790 0.5073 0.3292
K 0.4210 0.9927 0.8292
K 0.0790 0.9927 0.3292
K 0.9210 0.0073 0.6708
Dy 0.4218 0.2500 0.5058
Dy 0.5782 0.7500 0.4942
Dy 0.9218 0.7500 0.9942
Dy 0.0782 0.2500 0.0058
I 0.0798 0.2500 0.5102
I 0.9202 0.7500 0.4898
I 0.5798 0.7500 0.9898
I 0.4202 0.2500 0.0102
I 0.3302 0.9526 0.5648
I 0.6698 0.0474 0.4352
I 0.8302 0.0474 0.9352
I 0.6698 0.4526 0.4352
I 0.1698 0.9526 0.0648
I 0.3302 0.5474 0.5648
I 0.1698 0.5474 0.0648
I 0.8302 0.4526 0.9352
I 0.1451 0.2500 0.7984
I 0.8549 0.7500 0.2016
I 0.6451 0.7500 0.7016
I 0.3549 0.2500 0.2984
I 0.6013 0.2500 0.6861
I 0.3987 0.7500 0.3139
I 0.1013 0.7500 0.8139
I 0.8987 0.2500 0.1861
CELL_PARAMETERS angstrom
9.3097 0.0000 0.0000
0.0000 9.7496 0.0000
0.0000 0.0000 14.4854

---

9.
! K2DyI6 PBE optimized geometry; values from VASP
! - DOS(E_F) (states/eV/f.u.) = 9.81
! - crystal system = orthorhombic
! - raw formation energy (meV/atom) = -1141
&SYSTEM
  ibrav = 0, nat = 9, ntyp = 3
/
ATOMIC_SPECIES
K 39.10 K.upf
Dy 162.50 Dy.upf
I 126.90 I.upf
ATOMIC_POSITIONS crystal
K 0.0000 0.3455 0.6807
K 0.0000 0.6649 0.3193
Dy 0.5000 0.9643 0.0000
I 0.5000 0.6105 0.0000
I 0.5000 0.4310 0.4341
I 0.5000 0.9969 0.5659
I 0.0000 0.2165 0.0000
I 0.0000 0.7716 0.7727
I 0.0000 0.9989 0.2273
CELL_PARAMETERS angstrom
4.0957 0.0000 0.0000
0.0000 9.4536 0.0000
0.0000 -4.7268 9.5485

---

10.
! KDyI2 PBE optimized geometry; values from VASP
! - DOS(E_F) (states/eV/f.u.) = 2.92
! - crystal system = trigonal
! - raw formation energy (meV/atom) = -868
&SYSTEM
  ibrav = 0, nat = 4, ntyp = 3
/
ATOMIC_SPECIES
I 126.90 I.upf
K 39.10 K.upf
Dy 162.50 Dy.upf
ATOMIC_POSITIONS crystal
I 0.1093 0.1093 0.6720
I 0.8907 0.8907 0.3280
K 0.0000 0.0000 0.0000
Dy 0.5000 0.5000 0.5000
CELL_PARAMETERS angstrom
4.1335 0.0000 0.0000
2.0667 3.5797 0.0000
2.0667 1.1932 11.6052